Here is BRh after structural relaxation from Alexandria. Energies are from PBE.

## Properties
Total energy (eV/atom): -7.403
Size of the total moment (μB per cell): 0.000
Calculated formation energy (eV/atom): -0.39

a = 3.3890 Å, b = 3.3890 Å, c = 4.1433 Å
α = 90.00°, β = 90.00°, γ = 120.00°
Fractional positions:
B: 0.0000 0.0000 0.0000
B: 0.0000 0.0000 0.5000
Rh: 0.3333 0.6667 0.2500
Rh: 0.6667 0.3333 0.7500

=====

Here is Sr2Cu5Pd12 after structural relaxation from Alexandria. Energies are from PBE.

## Properties
Total energy (eV/atom): -4.784
Size of the total moment (μB per cell): 0.000
Calculated formation energy (eV/atom): -0.25

a = 6.8955 Å, b = 6.8955 Å, c = 6.8955 Å
α = 83.02°, β = 83.02°, γ = 83.02°
Fractional positions:
Sr: 0.1550 0.1550 0.1550
Sr: 0.8450 0.8450 0.8450
Cu: 0.0000 0.5000 0.5000
Cu: 0.4064 0.4064 0.4064
Cu: 0.5000 0.0000 0.5000
Cu: 0.5000 0.5000 0.0000
Cu: 0.5936 0.5936 0.5936
Pd: 0.1592 0.1592 0.6365
Pd: 0.1592 0.6365 0.1592
Pd: 0.2082 0.5000 0.7918
Pd: 0.2082 0.7918 0.5000
Pd: 0.3635 0.8408 0.8408
Pd: 0.5000 0.2082 0.7918
Pd: 0.5000 0.7918 0.2082
Pd: 0.6365 0.1592 0.1592
Pd: 0.7918 0.2082 0.5000
Pd: 0.7918 0.5000 0.2082
Pd: 0.8408 0.3635 0.8408
Pd: 0.8408 0.8408 0.3635

=====

Here is TaHgCl5 after structural relaxation from Alexandria. Energies are from PBE.

## Properties
Total energy (eV/atom): -4.122
Uncorrected formation energy (eV/atom): -1.07
Size of the total moment (μB per cell): 0.000

a = 8.9361 Å, b = 8.9361 Å, c = 9.3879 Å
α = 121.49°, β = 121.49°, γ = 73.23°
Fractional positions:
Ta: 0.0000 0.0000 0.0000
Ta: 0.0000 0.0000 0.5000
Hg: 0.4353 0.5647 0.7500
Hg: 0.5647 0.4353 0.2500
Cl: 0.0835 0.9165 0.7500
Cl: 0.2064 0.7900 0.4268
Cl: 0.2100 0.7936 0.0732
Cl: 0.2117 0.2152 0.2115
Cl: 0.2152 0.2117 0.7115
Cl: 0.7848 0.7883 0.2885
Cl: 0.7883 0.7848 0.7885
Cl: 0.7900 0.2064 0.9268
Cl: 0.7936 0.2100 0.5732
Cl: 0.9165 0.0835 0.2500

=====

Here is ErThTcAu after structural relaxation from Alexandria. Energies are from PBE.

## Properties
Total energy (eV/atom): -6.754
Size of the total moment (μB per cell): 0.000
Calculated formation energy (eV/atom): -0.35

a = 5.0481 Å, b = 5.0481 Å, c = 5.0481 Å
α = 60.00°, β = 60.00°, γ = 60.00°
Fractional positions:
Er: 0.0000 0.0000 0.0000
Th: 0.5000 0.5000 0.5000
Tc: 0.2500 0.2500 0.2500
Au: 0.7500 0.7500 0.7500

=====

Here is LiSbAsPd3 after structural relaxation from Alexandria. Energies are from PBE.

## Properties
Total energy (eV/atom): -4.805
Uncorrected formation energy (eV/atom): -0.43
Size of the total moment (μB per cell): 0.000

a = 10.0437 Å, b = 10.0437 Å, c = 5.0254 Å
α = 92.01°, β = 92.01°, γ = 24.90°
Fractional positions:
Li: 0.0851 0.0851 0.0379
Li: 0.9149 0.9149 0.9621
Sb: 0.3174 0.3174 0.7348
Sb: 0.6826 0.6826 0.2652
As: 0.4143 0.4143 0.2641
As: 0.5857 0.5857 0.7359
Pd: 0.1420 0.1420 0.5612
Pd: 0.2639 0.2639 0.2206
Pd: 0.4588 0.4588 0.7550
Pd: 0.5412 0.5412 0.2450
Pd: 0.7361 0.7361 0.7794
Pd: 0.8580 0.8580 0.4388